Below is a relaxed structure of Na2SnAs2, with properties calculated at the PBE level.

Crystal system: tetragonal
Theoretical density, kg/m3: 4198
DFT formation energy, eV/atom: -0.085
Total magnetization, μB per cell: 0.0

Geometry as extended XYZ:
```
5
Lattice="-1.8359 -3.4711 2.2805 4.0780 -1.0341 1.7089 0.0754 1.3867 6.6923" Properties=species:S:1:pos:R:3 pbc="T T T"
Na 2.6372 -0.9500 5.1979
Na -0.3198 -2.1685 5.4837
As 0.9135 -1.5304 2.9270
As 1.4039 -1.5882 7.7547
Sn 0.0000 0.0000 0.0000
```